Computed, not measured: an optimized crystal structure of Pr2HPd6Pb at the PBE-GGA level of DFT.

Results
energy = -5.3210 eV/atom

CIF file:
```
data_Pr2HPd6Pb
_chemical_formula_sum 'Pr2 H1 Pd6 Pb1'
_space_group_name_H-M_alt 'P -1'
_space_group_IT_number 2
_cell_length_a 5.814
_cell_length_b 5.820
_cell_length_c 7.315
_cell_angle_alpha 67.41
_cell_angle_beta 66.63
_cell_angle_gamma 60.05
loop_
_space_group_symop_operation_xyz
'x,y,z'
'-x,-y,-z'
loop_
_atom_site_label
_atom_site_fract_x
_atom_site_fract_y
_atom_site_fract_z
Pr1 0.231 0.248 0.293
H1 0.000 0.000 0.000
Pd1 0.224 0.709 0.841
Pd2 0.230 0.210 0.819
Pd3 0.264 0.790 0.178
Pb1 0.500 0.500 0.500
```